A geometry-optimized RbCoAsCl6 structure, computed with PBE-GGA.

The space group is C2 (No. 5) and the conventional cell measures 6.502, 11.264 and 7.409 Å, with angles of 90.00, 90.27 and 90.00 degrees. The inequivalent atoms are Rb at (0.000, 0.000, 0.000), Co at (0.000, 0.668, 0.500), As at (0.000, 0.334, 0.500), Cl at (0.121, 0.504, 0.693), Cl at (0.180, 0.811, 0.690) and Cl at (0.194, 0.185, 0.691).

The formation energy without anion corrections is -0.91 eV/atom. The calculation puts the final energy at -3.56 eV/atom. The spin magnetization is 3.000 μB per formula unit.

---

A geometry-optimized CoAsSCl2 structure, computed with PBE-GGA.

The space group is P4/mmm (No. 123) and the conventional cell measures 4.487, 4.487 and 4.585 Å, with angles of 90.00, 90.00 and 90.00 degrees. The inequivalent atoms are Co at (0.000, 0.000, 0.000), As at (0.500, 0.500, 0.500), S at (0.000, 0.000, 0.500) and Cl at (0.000, 0.500, 0.000).

The formation energy without anion corrections is 0.25 eV/atom. The calculation puts the final energy at -3.66 eV/atom. The spin magnetization is 0.650 μB per formula unit. The excess energy over the best structure of this formula in the dataset comes out at 0.0 meV per atom.

---

A geometry-optimized Cr2AsCl structure, computed with PBE-GGA.

The space group is F-43m (No. 216) and the conventional cell measures 6.690, 6.690 and 6.690 Å, with angles of 90.00, 90.00 and 90.00 degrees. The inequivalent atoms are Cr at (0.000, 0.000, 0.000), Cr at (0.250, 0.250, 0.250), As at (0.250, 0.250, 0.750) and Cl at (0.000, 0.000, 0.500).

The formation energy without anion corrections is 0.72 eV/atom. The calculation puts the final energy at -5.72 eV/atom. The spin magnetization is 8.001 μB per formula unit. The excess energy over the best structure of this formula in the dataset comes out at 839.4 meV per atom.

---

A geometry-optimized CrAsCl2 structure, computed with PBE-GGA.

The space group is R3m (No. 160, hexagonal axes) and the conventional cell measures 3.5574, 3.5574 and 24.4133 Å, with angles of 90.00, 90.00 and 120.00 degrees. The inequivalent atoms are Cr at (0.0000, 0.0000, 0.0000), As at (0.0000, 0.0000, 0.7219), Cl at (0.0000, 0.0000, 0.2752) and Cl at (0.0000, 0.0000, 0.4684).

The formation energy without anion corrections is -0.19 eV/atom. The calculation puts the final energy at -4.68 eV/atom. The spin magnetization is 3.009 μB per formula unit. The excess energy over the best structure of this formula in the dataset comes out at 318.5 meV per atom.

---

A geometry-optimized Cr2AsCl structure, computed with PBE-GGA.

The space group is I-4m2 (No. 119) and the conventional cell measures 3.570, 3.570 and 12.840 Å, with angles of 90.00, 90.00 and 90.00 degrees. The inequivalent atoms are Cr at (0.000, 0.000, 0.000), Cr at (0.000, 0.500, 0.250), As at (0.000, 0.500, 0.750) and Cl at (0.000, 0.000, 0.500).

The formation energy without anion corrections is 0.17 eV/atom. The calculation puts the final energy at -6.26 eV/atom. The spin magnetization is 7.992 μB per formula unit. The excess energy over the best structure of this formula in the dataset comes out at 292.2 meV per atom.

---

A geometry-optimized CrAsCl structure, computed with PBE-GGA.

The space group is P3m1 (No. 156) and the conventional cell measures 3.6062, 3.6062 and 5.9589 Å, with angles of 90.00, 90.00 and 120.00 degrees. The inequivalent atoms are Cr at (0.0000, 0.0000, 0.0000), As at (0.6667, 0.3333, 0.1948) and Cl at (0.3333, 0.6667, 0.7446).

The formation energy without anion corrections is -0.25 eV/atom. The calculation puts the final energy at -5.63 eV/atom. The spin magnetization is 2.030 μB per formula unit. The excess energy over the best structure of this formula in the dataset comes out at 0.0 meV per atom.